No. 1
A plane-wave DFT calculation with PBE-GGA was carried out for a geometry-optimized LaNd4Pb structure.

## Properties
DFT total energy   -4.293 eV/atom

Structure (CIF):
```
data_LaNd4Pb
_space_group_name_H-M_alt 'I 41 m d'
_space_group_IT_number 109
_space_group_name_Hall 'I 4bw -2'
_cell_length_a 11.786
_cell_length_b 11.786
_cell_length_c 6.999
_cell_angle_alpha 90.00
_cell_angle_beta 90.00
_cell_angle_gamma 90.00
loop_
_atom_site_label
_atom_site_fract_x
_atom_site_fract_y
_atom_site_fract_z
_atom_site_occupancy
La1 0.000 0.000 0.000 1
Nd1 0.000 0.230 0.206 1
Nd2 0.000 0.240 0.696 1
Pb1 0.000 0.000 0.492 1
```

No. 2
A plane-wave DFT calculation with PBE-GGA was carried out for a geometry-optimized LaNd2Pb3 structure.

## Properties
Energy above the lowest structure with this stoichiometry   0.000 eV per atom

Structure (CIF):
```
data_LaNd2Pb3
_space_group_name_H-M_alt 'C m m m'
_space_group_IT_number 65
_space_group_name_Hall '-C 2 2'
_cell_length_a 5.130
_cell_length_b 15.480
_cell_length_c 9.263
_cell_angle_alpha 90.00
_cell_angle_beta 90.00
_cell_angle_gamma 90.00
loop_
_atom_site_label
_atom_site_fract_x
_atom_site_fract_y
_atom_site_fract_z
_atom_site_occupancy
La1 0.000 0.166 0.000 1
Nd1 0.000 0.167 0.500 1
Nd2 0.000 0.500 0.000 1
Nd3 0.000 0.500 0.500 1
Pb1 0.000 0.000 0.252 1
Pb2 0.000 0.334 0.253 1
```

No. 3
A plane-wave DFT calculation with PBE-GGA was carried out for a geometry-optimized La3NdPb3 structure.

## Properties
DFT total energy   -4.733 eV/atom

Structure (CIF):
```
data_La3NdPb3
_space_group_name_H-M_alt 'C 1 2/m 1'
_space_group_IT_number 12
_cell_length_a 8.867
_cell_length_b 13.849
_cell_length_c 8.465
_cell_angle_alpha 90.00
_cell_angle_beta 91.94
_cell_angle_gamma 90.00
loop_
_space_group_symop_operation_xyz
'x,y,z'
'-x,-y,-z'
'-x,y,-z'
'x,-y,z'
'x+1/2,y+1/2,z'
'-x+1/2,-y+1/2,-z'
'-x+1/2,y+1/2,-z'
'x+1/2,-y+1/2,z'
loop_
_atom_site_label
_atom_site_fract_x
_atom_site_fract_y
_atom_site_fract_z
_atom_site_occupancy
La1 0.000 0.163 0.000 1
La2 0.000 0.223 0.500 1
La3 0.124 0.500 0.873 1
Nd1 0.228 0.500 0.422 1
Pb1 0.052 0.000 0.278 1
Pb2 0.173 0.327 0.201 1
```

No. 4
A plane-wave DFT calculation with PBE-GGA was carried out for a geometry-optimized La8Nd2Pb structure.

## Properties
Energy above the lowest structure with this stoichiometry   0.062 eV per atom

Structure (CIF):
```
data_La8Nd2Pb
_space_group_name_H-M_alt 'C 1 2/m 1'
_space_group_IT_number 12
_cell_length_a 17.557
_cell_length_b 6.834
_cell_length_c 6.608
_cell_angle_alpha 90.00
_cell_angle_beta 102.08
_cell_angle_gamma 90.00
loop_
_space_group_symop_operation_xyz
'x,y,z'
'-x,-y,-z'
'-x,y,-z'
'x,-y,z'
'x+1/2,y+1/2,z'
'-x+1/2,-y+1/2,-z'
'-x+1/2,y+1/2,-z'
'x+1/2,-y+1/2,z'
loop_
_atom_site_label
_atom_site_fract_x
_atom_site_fract_y
_atom_site_fract_z
_atom_site_occupancy
La1 0.001 0.000 0.246 1
La2 0.111 0.500 0.555 1
La3 0.173 0.235 0.099 1
Nd1 0.178 0.000 0.589 1
Pb1 0.000 0.500 0.000 1
```

No. 5
A plane-wave DFT calculation with PBE-GGA was carried out for a geometry-optimized LaNd3Pb2 structure.

## Properties
Energy above the lowest structure with this stoichiometry   0.000 eV per atom

Structure (CIF):
```
data_LaNd3Pb2
_space_group_name_H-M_alt 'P -4 m 2'
_space_group_IT_number 115
_cell_length_a 4.704
_cell_length_b 4.704
_cell_length_c 9.021
_cell_angle_alpha 90.00
_cell_angle_beta 90.00
_cell_angle_gamma 90.00
loop_
_space_group_symop_operation_xyz
'x,y,z'
'y,-x,-z'
'-x,-y,z'
'-y,x,-z'
'-x,y,z'
'-y,-x,-z'
'x,-y,z'
'y,x,-z'
loop_
_atom_site_label
_atom_site_fract_x
_atom_site_fract_y
_atom_site_fract_z
_atom_site_occupancy
La1 0.000 0.000 0.000 1
Nd1 0.000 0.500 0.350 1
Nd2 0.500 0.500 0.000 1
Pb1 0.000 0.500 0.715 1
```

No. 6
A plane-wave DFT calculation with PBE-GGA was carried out for a geometry-optimized La3NdPb structure.

## Properties
Energy above the lowest structure with this stoichiometry   0.008 eV per atom

Structure (CIF):
```
data_La3NdPb
_space_group_name_H-M_alt 'C m c m'
_space_group_IT_number 63
_space_group_name_Hall '-C 2c 2'
_cell_length_a 4.982
_cell_length_b 26.836
_cell_length_c 4.992
_cell_angle_alpha 90.00
_cell_angle_beta 90.00
_cell_angle_gamma 90.00
loop_
_atom_site_label
_atom_site_fract_x
_atom_site_fract_y
_atom_site_fract_z
_atom_site_occupancy
La1 0.000 0.054 0.250 1
La2 0.000 0.250 0.250 1
La3 0.000 0.444 0.250 1
Nd1 0.000 0.348 0.750 1
Pb1 0.000 0.152 0.750 1
```

No. 7
A plane-wave DFT calculation with PBE-GGA was carried out for a geometry-optimized LaNd12Pb3 structure.

## Properties
DFT total energy   -4.817 eV/atom

Structure (CIF):
```
data_LaNd12Pb3
_space_group_name_H-M_alt 'P 4/m m m'
_space_group_IT_number 123
_space_group_name_Hall '-P 4 2'
_cell_length_a 5.014
_cell_length_b 5.014
_cell_length_c 20.584
_cell_angle_alpha 90.00
_cell_angle_beta 90.00
_cell_angle_gamma 90.00
loop_
_atom_site_label
_atom_site_fract_x
_atom_site_fract_y
_atom_site_fract_z
_atom_site_occupancy
La1 0.000 0.000 0.000 1
Nd1 0.000 0.500 0.134 1
Nd2 0.000 0.500 0.379 1
Nd3 0.500 0.500 0.000 1
Nd4 0.500 0.500 0.258 1
Nd5 0.500 0.500 0.500 1
Pb1 0.000 0.000 0.256 1
Pb2 0.000 0.000 0.500 1
```

No. 8
A plane-wave DFT calculation with PBE-GGA was carried out for a geometry-optimized La14NdPb structure.

## Properties
DFT total energy   -4.919 eV/atom

Structure (CIF):
```
data_La14NdPb
_space_group_name_H-M_alt 'A m m 2'
_space_group_IT_number 38
_cell_length_a 10.440
_cell_length_b 10.398
_cell_length_c 10.401
_cell_angle_alpha 90.00
_cell_angle_beta 90.00
_cell_angle_gamma 90.00
loop_
_space_group_symop_operation_xyz
'x,y,z'
'-x,-y,z'
'-x,y,z'
'x,-y,z'
'x,y+1/2,z+1/2'
'-x,-y+1/2,z+1/2'
'-x,y+1/2,z+1/2'
'x,-y+1/2,z+1/2'
loop_
_atom_site_label
_atom_site_fract_x
_atom_site_fract_y
_atom_site_fract_z
_atom_site_occupancy
La1 0.000 0.000 0.000 1
La2 0.000 0.000 0.498 1
La3 0.000 0.250 0.250 1
La4 0.255 0.000 0.756 1
La5 0.255 0.243 0.999 1
La6 0.256 0.000 0.243 1
La7 0.500 0.250 0.250 1
Nd1 0.500 0.000 0.500 1
Pb1 0.500 0.000 0.999 1
```

No. 9
A plane-wave DFT calculation with PBE-GGA was carried out for a geometry-optimized LaNd2Pb2 structure.

## Properties
Energy above the lowest structure with this stoichiometry   0.146 eV per atom

Structure (CIF):
```
data_LaNd2Pb2
_space_group_name_H-M_alt 'P 63/m m c'
_space_group_IT_number 194
_space_group_name_Hall '-P 6c 2c'
_cell_length_a 5.3070
_cell_length_b 5.3070
_cell_length_c 13.4031
_cell_angle_alpha 90.00
_cell_angle_beta 90.00
_cell_angle_gamma 120.00
loop_
_atom_site_label
_atom_site_fract_x
_atom_site_fract_y
_atom_site_fract_z
_atom_site_occupancy
La1 0.0000 0.0000 0.2500 1
Nd1 0.0000 0.0000 0.0000 1
Nd2 0.3333 0.6667 0.2500 1
Pb1 0.3333 0.6667 0.6221 1
```

No. 10
A plane-wave DFT calculation with PBE-GGA was carried out for a geometry-optimized La5NdPb6 structure.

## Properties
DFT total energy   -4.882 eV/atom

Structure (CIF):
```
data_La5NdPb6
_space_group_name_H-M_alt 'C m m m'
_space_group_IT_number 65
_space_group_name_Hall '-C 2 2'
_cell_length_a 5.155
_cell_length_b 15.602
_cell_length_c 9.339
_cell_angle_alpha 90.00
_cell_angle_beta 90.00
_cell_angle_gamma 90.00
loop_
_atom_site_label
_atom_site_fract_x
_atom_site_fract_y
_atom_site_fract_z
_atom_site_occupancy
La1 0.000 0.000 0.000 1
La2 0.000 0.333 0.000 1
La3 0.000 0.334 0.500 1
Nd1 0.000 0.000 0.500 1
Pb1 0.000 0.165 0.251 1
Pb2 0.000 0.500 0.251 1
```

No. 11
A plane-wave DFT calculation with PBE-GGA was carried out for a geometry-optimized LaNd9Pb2 structure.

## Properties
DFT total energy   -4.808 eV/atom

Structure (CIF):
```
data_LaNd9Pb2
_space_group_name_H-M_alt 'P 4/m m m'
_space_group_IT_number 123
_space_group_name_Hall '-P 4 2'
_cell_length_a 5.017
_cell_length_b 5.017
_cell_length_c 15.620
_cell_angle_alpha 90.00
_cell_angle_beta 90.00
_cell_angle_gamma 90.00
loop_
_atom_site_label
_atom_site_fract_x
_atom_site_fract_y
_atom_site_fract_z
_atom_site_occupancy
La1 0.000 0.000 0.000 1
Nd1 0.000 0.500 0.176 1
Nd2 0.000 0.500 0.500 1
Nd3 0.500 0.500 0.000 1
Nd4 0.500 0.500 0.341 1
Pb1 0.000 0.000 0.338 1
```

No. 12
A plane-wave DFT calculation with PBE-GGA was carried out for a geometry-optimized LaNdPdPb structure.

## Properties
DFT total energy   -5.239 eV/atom

Structure (CIF):
```
data_LaNdPdPb
_space_group_name_H-M_alt 'F -4 3 m'
_space_group_IT_number 216
_space_group_name_Hall 'F -4 2 3'
_cell_length_a 7.674
_cell_length_b 7.674
_cell_length_c 7.674
_cell_angle_alpha 90.00
_cell_angle_beta 90.00
_cell_angle_gamma 90.00
loop_
_atom_site_label
_atom_site_fract_x
_atom_site_fract_y
_atom_site_fract_z
_atom_site_occupancy
La1 0.000 0.000 0.000 1
Nd1 0.000 0.000 0.500 1
Pd1 0.250 0.250 0.250 1
Pb1 0.250 0.250 0.750 1
```

No. 13
A plane-wave DFT calculation with PBE-GGA was carried out for a geometry-optimized La3NdPb2S structure.

## Properties
Energy relative to the elements, uncorrected   -864 meV per atom

Structure (CIF):
```
data_La3NdPb2S
_space_group_name_H-M_alt 'I m m m'
_space_group_IT_number 71
_space_group_name_Hall '-I 2 2'
_cell_length_a 5.328
_cell_length_b 5.372
_cell_length_c 16.985
_cell_angle_alpha 90.00
_cell_angle_beta 90.00
_cell_angle_gamma 90.00
loop_
_atom_site_label
_atom_site_fract_x
_atom_site_fract_y
_atom_site_fract_z
_atom_site_occupancy
La1 0.000 0.000 0.000 1
La2 0.000 0.500 0.170 1
Nd1 0.000 0.000 0.500 1
Pb1 0.000 0.500 0.365 1
S1 0.000 0.500 0.000 1
```

No. 14
A plane-wave DFT calculation with PBE-GGA was carried out for a geometry-optimized LaNdPbSe structure.

## Properties
Energy relative to the elements, uncorrected   -1208 meV per atom

Structure (CIF):
```
data_LaNdPbSe
_space_group_name_H-M_alt 'P 4/m m m'
_space_group_IT_number 123
_space_group_name_Hall '-P 4 2'
_cell_length_a 4.493
_cell_length_b 4.493
_cell_length_c 6.287
_cell_angle_alpha 90.00
_cell_angle_beta 90.00
_cell_angle_gamma 90.00
loop_
_atom_site_label
_atom_site_fract_x
_atom_site_fract_y
_atom_site_fract_z
_atom_site_occupancy
La1 0.000 0.000 0.000 1
Nd1 0.500 0.500 0.500 1
Pb1 0.500 0.500 0.000 1
Se1 0.000 0.000 0.500 1
```

No. 15
A plane-wave DFT calculation with PBE-GGA was carried out for a geometry-optimized La2Nd3Sm6Pb structure.

## Properties
DFT total energy   -4.760 eV/atom

Structure (CIF):
```
data_La2Nd3Sm6Pb
_space_group_name_H-M_alt 'C 1 2/m 1'
_space_group_IT_number 12
_cell_length_a 6.260
_cell_length_b 10.852
_cell_length_c 12.045
_cell_angle_alpha 90.00
_cell_angle_beta 100.08
_cell_angle_gamma 90.00
loop_
_space_group_symop_operation_xyz
'x,y,z'
'-x,-y,-z'
'-x,y,-z'
'x,-y,z'
'x+1/2,y+1/2,z'
'-x+1/2,-y+1/2,-z'
'-x+1/2,y+1/2,-z'
'x+1/2,-y+1/2,z'
loop_
_atom_site_label
_atom_site_fract_x
_atom_site_fract_y
_atom_site_fract_z
_atom_site_occupancy
La1 0.000 0.166 0.000 1
Nd1 0.000 0.000 0.500 1
Nd2 0.000 0.331 0.500 1
Sm1 0.241 0.500 0.750 1
Sm2 0.245 0.338 0.248 1
Pb1 0.000 0.500 0.000 1
```

No. 16
A plane-wave DFT calculation with PBE-GGA was carried out for a geometry-optimized La3Nd2Sm6Pb structure.

## Properties
DFT total energy   -4.760 eV/atom

Structure (CIF):
```
data_La3Nd2Sm6Pb
_space_group_name_H-M_alt 'C 1 2/m 1'
_space_group_IT_number 12
_cell_length_a 6.267
_cell_length_b 10.875
_cell_length_c 12.030
_cell_angle_alpha 90.00
_cell_angle_beta 100.14
_cell_angle_gamma 90.00
loop_
_space_group_symop_operation_xyz
'x,y,z'
'-x,-y,-z'
'-x,y,-z'
'x,-y,z'
'x+1/2,y+1/2,z'
'-x+1/2,-y+1/2,-z'
'-x+1/2,y+1/2,-z'
'x+1/2,-y+1/2,z'
loop_
_atom_site_label
_atom_site_fract_x
_atom_site_fract_y
_atom_site_fract_z
_atom_site_occupancy
La1 0.000 0.000 0.000 1
La2 0.000 0.330 0.000 1
Nd1 0.000 0.166 0.500 1
Sm1 0.243 0.500 0.253 1
Sm2 0.244 0.338 0.745 1
Pb1 0.000 0.500 0.500 1
```

No. 17
A plane-wave DFT calculation with PBE-GGA was carried out for a geometry-optimized La2Nd6Sm3Pb structure.

## Properties
DFT total energy   -4.770 eV/atom

Structure (CIF):
```
data_La2Nd6Sm3Pb
_space_group_name_H-M_alt 'C 1 2/m 1'
_space_group_IT_number 12
_cell_length_a 6.278
_cell_length_b 10.889
_cell_length_c 12.118
_cell_angle_alpha 90.00
_cell_angle_beta 100.07
_cell_angle_gamma 90.00
loop_
_space_group_symop_operation_xyz
'x,y,z'
'-x,-y,-z'
'-x,y,-z'
'x,-y,z'
'x+1/2,y+1/2,z'
'-x+1/2,-y+1/2,-z'
'-x+1/2,y+1/2,-z'
'x+1/2,-y+1/2,z'
loop_
_atom_site_label
_atom_site_fract_x
_atom_site_fract_y
_atom_site_fract_z
_atom_site_occupancy
La1 0.000 0.166 0.000 1
Nd1 0.240 0.500 0.749 1
Nd2 0.245 0.338 0.250 1
Sm1 0.000 0.000 0.500 1
Sm2 0.000 0.331 0.500 1
Pb1 0.000 0.500 0.000 1
```

No. 18
A plane-wave DFT calculation with PBE-GGA was carried out for a geometry-optimized LaTbNdPb structure.

## Properties
DFT total energy   -4.674 eV/atom

Structure (CIF):
```
data_LaTbNdPb
_space_group_name_H-M_alt 'F -4 3 m'
_space_group_IT_number 216
_space_group_name_Hall 'F -4 2 3'
_cell_length_a 7.986
_cell_length_b 7.986
_cell_length_c 7.986
_cell_angle_alpha 90.00
_cell_angle_beta 90.00
_cell_angle_gamma 90.00
loop_
_atom_site_label
_atom_site_fract_x
_atom_site_fract_y
_atom_site_fract_z
_atom_site_occupancy
La1 0.000 0.000 0.000 1
Tb1 0.250 0.250 0.250 1
Nd1 0.000 0.000 0.500 1
Pb1 0.250 0.250 0.750 1
```

No. 19
A plane-wave DFT calculation with PBE-GGA was carried out for a geometry-optimized LaNdTlPb structure.

## Properties
DFT total energy   -4.402 eV/atom

Structure (CIF):
```
data_LaNdTlPb
_space_group_name_H-M_alt 'F -4 3 m'
_space_group_IT_number 216
_space_group_name_Hall 'F -4 2 3'
_cell_length_a 7.921
_cell_length_b 7.921
_cell_length_c 7.921
_cell_angle_alpha 90.00
_cell_angle_beta 90.00
_cell_angle_gamma 90.00
loop_
_atom_site_label
_atom_site_fract_x
_atom_site_fract_y
_atom_site_fract_z
_atom_site_occupancy
La1 0.000 0.000 0.000 1
Nd1 0.000 0.000 0.500 1
Tl1 0.250 0.250 0.250 1
Pb1 0.250 0.250 0.750 1
```

No. 20
A plane-wave DFT calculation with PBE-GGA was carried out for a geometry-optimized La3Nd3Tl2Pb structure.

## Properties
DFT total energy   -4.483 eV/atom

Structure (CIF):
```
data_La3Nd3Tl2Pb
_space_group_name_H-M_alt 'P -6 2 m'
_space_group_IT_number 189
_space_group_name_Hall 'P -6 -2'
_cell_length_a 8.8290
_cell_length_b 8.8290
_cell_length_c 4.4521
_cell_angle_alpha 90.00
_cell_angle_beta 90.00
_cell_angle_gamma 120.00
loop_
_atom_site_label
_atom_site_fract_x
_atom_site_fract_y
_atom_site_fract_z
_atom_site_occupancy
La1 0.0000 0.7229 0.0000 1
Nd1 0.0000 0.4010 0.5000 1
Tl1 0.3333 0.6667 0.0000 1
Pb1 0.0000 0.0000 0.5000 1
```

| no. | D(E_F) (states/eV per atom) | size of the total moment (μB per atom) |
| --- | --- | --- |
| 1 | 1.85 | 0.03 |
| 2 | 1.02 | 0.01 |
| 3 | 0.81 | 0.00 |
| 4 | 1.49 | 0.00 |
| 5 | 1.33 | 0.00 |
| 6 | 1.26 | 0.00 |
| 7 | 1.18 | 0.00 |
| 8 | 1.42 | 0.00 |
| 9 | 1.19 | 0.00 |
| 10 | 0.78 | 0.00 |
| 11 | 1.16 | 0.00 |
| 12 | 0.45 | 0.00 |
| 13 | 0.69 | 0.00 |
| 14 | 0.27 | 0.00 |
| 15 | 1.24 | 0.00 |
| 16 | 1.26 | 0.00 |
| 17 | 1.26 | 0.00 |
| 18 | 1.87 | 0.00 |
| 19 | 0.59 | 0.00 |
| 20 | 1.34 | 0.00 |